## 1
First-principles (GGA-PBE) data for CaPr2Ru after structural relaxation, as listed in Alexandria via LeMat-Bulk.

Structure (POSCAR):
```
CaPr2Ru
1.0
3.9945 0.0000 0.0000
-1.9973 3.4593 0.0000
0.0000 0.0000 32.5072
Ca Pr Ru
3 6 3
direct
0.0000 0.0000 0.0000
0.3333 0.6667 0.6667
0.6667 0.3333 0.3333
0.0000 0.0000 0.1169
0.0000 0.0000 0.8831
0.3333 0.6667 0.5498
0.3333 0.6667 0.7836
0.6667 0.3333 0.2164
0.6667 0.3333 0.4502
0.0000 0.0000 0.5000
0.3333 0.6667 0.1667
0.6667 0.3333 0.8333
```

Calculated values
Space-group type = No. 166



## 2
First-principles (GGA-PBE) data for CaPr2Ru after structural relaxation, as listed in Alexandria via LeMat-Bulk.

Structure (POSCAR):
```
CaPr2Ru
1.0
3.5497 0.0000 0.0000
0.0000 3.5497 0.0000
0.0000 0.0000 9.9622
Ca Pr Ru
1 2 1
direct
0.0000 0.0000 0.0000
0.5000 0.5000 0.3274
0.5000 0.5000 0.6726
0.0000 0.0000 0.5000
```

Calculated values
Space-group type = No. 123



## 3
First-principles (GGA-PBE) data for CaPr2Ru after structural relaxation, as listed in Alexandria via LeMat-Bulk.

Structure (POSCAR):
```
CaPr2Ru
1.0
4.0848 0.0000 0.0000
0.0000 12.6964 0.0000
0.0000 0.0000 9.2749
Ca Pr Ru
4 8 4
direct
0.0000 0.0774 0.2500
0.0000 0.9226 0.7500
0.5000 0.4226 0.7500
0.5000 0.5774 0.2500
0.0000 0.3545 0.0665
0.0000 0.3545 0.4335
0.0000 0.6455 0.5665
0.0000 0.6455 0.9335
0.5000 0.1455 0.5665
0.5000 0.1455 0.9335
0.5000 0.8545 0.0665
0.5000 0.8545 0.4335
0.0000 0.2481 0.7500
0.0000 0.7519 0.2500
0.5000 0.2519 0.2500
0.5000 0.7481 0.7500
```

Calculated values
Space-group type = No. 63



Pick 3: it beats the second-best structure by 0.028 eV/atom.



## 1
First-principles (GGA-PBE) data for CaPr3Ru after structural relaxation, as listed in Alexandria via LeMat-Bulk.

Structure (POSCAR):
```
CaPr3Ru
1.0
6.6517 -3.8483 0.0000
6.6517 3.8483 0.0000
-4.4266 0.0000 6.7649
Ca Pr Ru
2 6 2
direct
0.0881 0.0881 0.2638
0.9119 0.9119 0.7362
0.0870 0.5905 0.2677
0.4099 0.4099 0.7324
0.4095 0.9130 0.7323
0.5905 0.0870 0.2677
0.5901 0.5901 0.2676
0.9130 0.4095 0.7323
0.3295 0.3295 0.9900
0.6705 0.6705 0.0100
```

Calculated values
Space-group type = No. 12



## 2
First-principles (GGA-PBE) data for CaPr3Ru after structural relaxation, as listed in Alexandria via LeMat-Bulk.

Structure (POSCAR):
```
CaPr3Ru
1.0
7.4601 -1.9568 0.0000
7.4601 1.9568 0.0000
-0.2485 0.0000 11.4003
Ca Pr Ru
2 6 2
direct
0.1725 0.1725 0.0916
0.8275 0.8275 0.9084
0.0670 0.0670 0.3809
0.2098 0.2098 0.6500
0.4438 0.4438 0.1528
0.5562 0.5562 0.8472
0.7902 0.7902 0.3500
0.9330 0.9330 0.6191
0.4216 0.4216 0.4026
0.5784 0.5784 0.5974
```

Calculated values
Space-group type = No. 12



## 3
First-principles (GGA-PBE) data for CaPr3Ru after structural relaxation, as listed in Alexandria via LeMat-Bulk.

Structure (POSCAR):
```
CaPr3Ru
1.0
5.6328 0.0000 0.0000
0.0000 5.6328 0.0000
0.0000 0.0000 5.6328
Ca Pr Ru
1 3 1
direct
0.0000 0.0000 0.0000
0.0000 0.5000 0.5000
0.5000 0.0000 0.5000
0.5000 0.5000 0.0000
0.5000 0.5000 0.5000
```

Calculated values
Space-group type = No. 221



Pick 2: it beats the second-best structure by 0.011 eV/atom.



## 1
First-principles (GGA-PBE) data for CaPr2Sb after structural relaxation, as listed in Alexandria via LeMat-Bulk.

Structure (POSCAR):
```
CaPr2Sb
1.0
4.3294 0.0000 0.0000
0.0000 4.3294 0.0000
0.0000 0.0000 6.9270
Ca Pr Sb
1 2 1
direct
0.0000 0.0000 0.0000
0.5000 0.5000 0.2691
0.5000 0.5000 0.7309
0.0000 0.0000 0.5000
```

Calculated values
Space-group type = No. 123



## 2
First-principles (GGA-PBE) data for CaPr2Sb after structural relaxation, as listed in Alexandria via LeMat-Bulk.

Structure (POSCAR):
```
CaPr2Sb
1.0
4.9564 0.0000 0.0000
0.0000 4.9564 0.0000
0.0000 0.0000 5.0306
Ca Pr Sb
1 2 1
direct
0.0000 0.0000 0.0000
0.0000 0.5000 0.5000
0.5000 0.0000 0.5000
0.5000 0.5000 0.0000
```

Calculated values
Space-group type = No. 123



## 3
First-principles (GGA-PBE) data for CaPr2Sb after structural relaxation, as listed in Alexandria via LeMat-Bulk.

Structure (POSCAR):
```
CaPr2Sb
1.0
4.2682 0.0000 0.0000
-2.1341 3.6964 0.0000
0.0000 0.0000 30.0095
Ca Pr Sb
3 6 3
direct
0.0000 0.0000 0.0000
0.3333 0.6667 0.6667
0.6667 0.3333 0.3333
0.0000 0.0000 0.5634
0.0000 0.0000 0.7693
0.3333 0.6667 0.2300
0.3333 0.6667 0.4359
0.6667 0.3333 0.1026
0.6667 0.3333 0.8967
0.0000 0.0000 0.1662
0.3333 0.6667 0.8328
0.6667 0.3333 0.4995
```

Calculated values
Space-group type = No. 160



Pick 1: it beats the second-best structure by 0.019 eV/atom.



## 1
First-principles (GGA-PBE) data for Ca2Pr2Sm after structural relaxation, as listed in Alexandria via LeMat-Bulk.

Structure (POSCAR):
```
Ca2Pr2Sm
1.0
4.7021 0.0000 0.0000
0.0000 4.7021 0.0000
0.0000 0.0000 17.5261
Ca Pr Sm
4 4 2
direct
0.0000 0.5000 0.2500
0.0000 0.5000 0.7500
0.5000 0.0000 0.2500
0.5000 0.0000 0.7500
0.0000 0.0000 0.0887
0.0000 0.0000 0.9113
0.5000 0.5000 0.4113
0.5000 0.5000 0.5887
0.0000 0.0000 0.5000
0.5000 0.5000 0.0000
```

Calculated values
Space-group type = No. 139



## 2
First-principles (GGA-PBE) data for Ca2Pr2Sm after structural relaxation, as listed in Alexandria via LeMat-Bulk.

Structure (POSCAR):
```
Ca2Pr2Sm
1.0
3.7309 0.0000 0.0000
-1.8655 3.2311 0.0000
0.0000 0.0000 15.6291
Ca Pr Sm
2 2 1
direct
0.3333 0.6667 0.3945
0.6667 0.3333 0.6055
0.3333 0.6667 0.8127
0.6667 0.3333 0.1873
0.0000 0.0000 0.0000
```

Calculated values
Space-group type = No. 164



Pick 2: it beats the second-best structure by 0.324 eV/atom.



## 1
First-principles (GGA-PBE) data for Ca2PrSm4 after structural relaxation, as listed in Alexandria via LeMat-Bulk.

Structure (POSCAR):
```
Ca2PrSm4
1.0
5.7190 0.0000 0.0000
0.0000 5.7190 0.0000
0.0000 0.0000 17.8983
Ca Pr Sm
4 2 8
direct
0.0000 0.0000 0.1277
0.0000 0.0000 0.8723
0.5000 0.5000 0.3723
0.5000 0.5000 0.6277
0.0000 0.0000 0.5000
0.5000 0.5000 0.0000
0.0000 0.0000 0.3273
0.0000 0.0000 0.6727
0.0000 0.5000 0.0000
0.0000 0.5000 0.5000
0.5000 0.0000 0.0000
0.5000 0.0000 0.5000
0.5000 0.5000 0.1727
0.5000 0.5000 0.8273
```

Calculated values
Space-group type = No. 139



## 2
First-principles (GGA-PBE) data for Ca2PrSm4 after structural relaxation, as listed in Alexandria via LeMat-Bulk.

Structure (POSCAR):
```
Ca2PrSm4
1.0
3.5698 0.0000 0.0000
0.0000 5.9483 0.0000
0.0000 0.0000 23.8248
Ca Pr Sm
4 2 8
direct
0.0000 0.0000 0.2210
0.0000 0.0000 0.7790
0.5000 0.5000 0.2790
0.5000 0.5000 0.7210
0.0000 0.0000 0.5000
0.5000 0.5000 0.0000
0.0000 0.5000 0.1312
0.0000 0.5000 0.4192
0.0000 0.5000 0.5808
0.0000 0.5000 0.8688
0.5000 0.0000 0.0808
0.5000 0.0000 0.3688
0.5000 0.0000 0.6312
0.5000 0.0000 0.9192
```

Calculated values
Space-group type = No. 71



Pick 2: it beats the second-best structure by 0.468 eV/atom.



## 1
First-principles (GGA-PBE) data for CaPr3Sm after structural relaxation, as listed in Alexandria via LeMat-Bulk.

Structure (POSCAR):
```
CaPr3Sm
1.0
2.8053 -5.7554 0.0000
2.8053 5.7554 0.0000
0.0000 0.0000 11.5308
Ca Pr Sm
2 6 2
direct
0.1563 0.8437 0.0000
0.8437 0.1563 0.0000
0.1531 0.8469 0.3062
0.1531 0.8469 0.6938
0.5000 0.5000 0.1871
0.5000 0.5000 0.8129
0.8469 0.1531 0.3062
0.8469 0.1531 0.6938
0.3616 0.6384 0.5000
0.6384 0.3616 0.5000
```

Calculated values
Space-group type = No. 65



## 2
First-principles (GGA-PBE) data for CaPr3Sm after structural relaxation, as listed in Alexandria via LeMat-Bulk.

Structure (POSCAR):
```
CaPr3Sm
1.0
8.0225 -6.8917 0.0000
8.0225 6.8917 0.0000
-1.7265 0.0000 6.6282
Ca Pr Sm
4 12 4
direct
0.0307 0.1745 0.4519
0.1745 0.0307 0.9519
0.8255 0.9693 0.0481
0.9693 0.8255 0.5481
0.1018 0.7073 0.0531
0.1109 0.4872 0.3493
0.2353 0.3787 0.8599
0.2927 0.8982 0.4469
0.3787 0.2353 0.3599
0.4872 0.1109 0.8493
0.5128 0.8891 0.1507
0.6213 0.7647 0.6401
0.7073 0.1018 0.5531
0.7647 0.6213 0.1401
0.8891 0.5128 0.6507
0.8982 0.2927 0.9469
0.3197 0.6803 0.7500
0.4285 0.5715 0.2500
0.5715 0.4285 0.7500
0.6803 0.3197 0.2500
```

Calculated values
Space-group type = No. 15



Pick 2: it beats the second-best structure by 0.084 eV/atom.



## 1
First-principles (GGA-PBE) data for CaPrSm4 after structural relaxation, as listed in Alexandria via LeMat-Bulk.

Structure (POSCAR):
```
CaPrSm4
1.0
0.0000 4.8035 4.8035
4.8035 0.0000 4.8035
4.8035 4.8035 0.0000
Ca Pr Sm
1 1 4
direct
0.0000 0.0000 0.0000
0.7500 0.7500 0.7500
0.3762 0.3762 0.3762
0.3762 0.3762 0.8712
0.3762 0.8712 0.3762
0.8712 0.3762 0.3762
```

Calculated values
Space-group type = No. 216



## 2
First-principles (GGA-PBE) data for CaPrSm4 after structural relaxation, as listed in Alexandria via LeMat-Bulk.

Structure (POSCAR):
```
CaPrSm4
1.0
12.2242 0.0000 0.0000
0.0000 3.6604 0.0000
-4.4498 0.0000 9.4281
Ca Pr Sm
2 2 8
direct
0.0000 0.0000 0.0000
0.5000 0.5000 0.0000
0.0000 0.0000 0.5000
0.5000 0.5000 0.5000
0.1682 0.5000 0.3396
0.1683 0.5000 0.8271
0.3317 0.0000 0.1729
0.3318 0.0000 0.6604
0.6682 0.0000 0.3396
0.6683 0.0000 0.8271
0.8317 0.5000 0.1729
0.8318 0.5000 0.6604
```

Calculated values
Space-group type = No. 12



Pick 2: it beats the second-best structure by 0.148 eV/atom.



## 1
First-principles (GGA-PBE) data for CaPrSmY after structural relaxation, as listed in Alexandria via LeMat-Bulk.

Structure (POSCAR):
```
CaPrSmY
1.0
3.6889 0.0000 0.0000
0.0000 3.6889 0.0000
0.0000 0.0000 10.5207
Ca Pr Sm Y
1 1 1 1
direct
0.0000 0.0000 0.0000
0.5000 0.5000 0.7278
0.0000 0.0000 0.4901
0.5000 0.5000 0.2604
```

Calculated values
Space-group type = No. 99



## 2
First-principles (GGA-PBE) data for CaPrSmY after structural relaxation, as listed in Alexandria via LeMat-Bulk.

Structure (POSCAR):
```
CaPrSmY
1.0
8.2836 0.0000 0.0000
0.0000 8.2836 0.0000
0.0000 0.0000 8.2836
Ca Pr Sm Y
4 4 4 4
direct
0.0000 0.0000 0.0000
0.0000 0.5000 0.5000
0.5000 0.0000 0.5000
0.5000 0.5000 0.0000
0.2500 0.2500 0.2500
0.2500 0.7500 0.7500
0.7500 0.2500 0.7500
0.7500 0.7500 0.2500
0.2500 0.2500 0.7500
0.2500 0.7500 0.2500
0.7500 0.2500 0.2500
0.7500 0.7500 0.7500
0.0000 0.0000 0.5000
0.0000 0.5000 0.0000
0.5000 0.0000 0.0000
0.5000 0.5000 0.5000
```

Calculated values
Space-group type = No. 216



Pick 1: it beats the second-best structure by 0.067 eV/atom.



## 1
First-principles (GGA-PBE) data for CaPrSmZn after structural relaxation, as listed in Alexandria via LeMat-Bulk.

Structure (POSCAR):
```
CaPrSmZn
1.0
7.7990 0.0000 0.0000
0.0000 7.7990 0.0000
0.0000 0.0000 7.7990
Ca Pr Sm Zn
4 4 4 4
direct
0.0000 0.0000 0.0000
0.0000 0.5000 0.5000
0.5000 0.0000 0.5000
0.5000 0.5000 0.0000
0.2500 0.2500 0.2500
0.2500 0.7500 0.7500
0.7500 0.2500 0.7500
0.7500 0.7500 0.2500
0.2500 0.2500 0.7500
0.2500 0.7500 0.2500
0.7500 0.2500 0.2500
0.7500 0.7500 0.7500
0.0000 0.0000 0.5000
0.0000 0.5000 0.0000
0.5000 0.0000 0.0000
0.5000 0.5000 0.5000
```

Calculated values
Space-group type = No. 216



## 2
First-principles (GGA-PBE) data for CaPrSmZn after structural relaxation, as listed in Alexandria via LeMat-Bulk.

Structure (POSCAR):
```
CaPrSmZn
1.0
3.6340 0.0000 0.0000
0.0000 3.6340 0.0000
0.0000 0.0000 9.3347
Ca Pr Sm Zn
1 1 1 1
direct
0.0000 0.0000 0.0000
0.5000 0.5000 0.3231
0.0000 0.0000 0.6028
0.5000 0.5000 0.7946
```

Calculated values
Space-group type = No. 99



Pick 2: it beats the second-best structure by 0.160 eV/atom.



## 1
First-principles (GGA-PBE) data for CaPrTlSn after structural relaxation, as listed in Alexandria via LeMat-Bulk.

Structure (POSCAR):
```
CaPrTlSn
1.0
7.8019 0.0000 0.0000
0.0000 7.8019 0.0000
0.0000 0.0000 7.8019
Ca Pr Tl Sn
4 4 4 4
direct
0.0000 0.0000 0.0000
0.0000 0.5000 0.5000
0.5000 0.0000 0.5000
0.5000 0.5000 0.0000
0.0000 0.0000 0.5000
0.0000 0.5000 0.0000
0.5000 0.0000 0.0000
0.5000 0.5000 0.5000
0.2500 0.2500 0.2500
0.2500 0.7500 0.7500
0.7500 0.2500 0.7500
0.7500 0.7500 0.2500
0.2500 0.2500 0.7500
0.2500 0.7500 0.2500
0.7500 0.2500 0.2500
0.7500 0.7500 0.7500
```

Calculated values
Space-group type = No. 216



## 2
First-principles (GGA-PBE) data for CaPrTlSn after structural relaxation, as listed in Alexandria via LeMat-Bulk.

Structure (POSCAR):
```
CaPrTlSn
1.0
4.4585 0.0000 0.0000
0.0000 5.0965 0.0000
0.0000 0.0000 5.1898
Ca Pr Tl Sn
1 1 1 1
direct
0.0000 0.0000 0.0000
0.0000 0.5000 0.5000
0.5000 0.5000 0.0000
0.5000 0.0000 0.5000
```

Calculated values
Space-group type = No. 47



Pick 2: it beats the second-best structure by 0.037 eV/atom.



## 1
First-principles (GGA-PBE) data for SrCaPr after structural relaxation, as listed in Alexandria via LeMat-Bulk.

Structure (POSCAR):
```
SrCaPr
1.0
3.9309 0.0000 0.0000
0.0000 3.9309 0.0000
0.0000 0.0000 16.6323
Sr Ca Pr
2 2 2
direct
0.0000 0.0000 0.0000
0.5000 0.5000 0.5000
0.0000 0.0000 0.3185
0.5000 0.5000 0.8185
0.0000 0.0000 0.6669
0.5000 0.5000 0.1669
```

Calculated values
Space-group type = No. 107



## 2
First-principles (GGA-PBE) data for SrCaPr after structural relaxation, as listed in Alexandria via LeMat-Bulk.

Structure (POSCAR):
```
SrCaPr
1.0
3.8993 0.0000 0.0000
-1.9497 3.3769 0.0000
0.0000 0.0000 9.7029
Sr Ca Pr
1 1 1
direct
0.0000 0.0000 0.0000
0.3333 0.6667 0.6509
0.6667 0.3333 0.3364
```

Calculated values
Space-group type = No. 156



## 3
First-principles (GGA-PBE) data for SrCaPr after structural relaxation, as listed in Alexandria via LeMat-Bulk.

Structure (POSCAR):
```
SrCaPr
1.0
4.0647 0.0000 0.0000
-2.0243 6.9117 0.0000
-0.0001 -3.2173 9.1972
Sr Ca Pr
2 2 2
direct
0.1677 0.3355 0.1249
0.8323 0.6645 0.8751
0.4691 0.9374 0.2476
0.5309 0.0626 0.7524
0.1512 0.3033 0.5332
0.8488 0.6967 0.4668
```

Calculated values
Space-group type = No. 2



Pick 3: it beats the second-best structure by 0.032 eV/atom.